(1)
Material: Cs2RbAu
Method: DFT, PBE-GGA
State: relaxed

Computed properties:
As for the crystal system: cubic. For the calculated formation energy, the calculation gives -0.01 eV per atom. The calculation puts the total energy at -1.4987 eV per atom.

Geometry as CIF:
```
data_Cs2RbAu
_chemical_formula_sum 'Cs8 Rb4 Au4'
_space_group_name_H-M_alt 'F m -3 m'
_space_group_IT_number 225
_space_group_name_Hall '-F 4 2 3'
_cell_length_a 9.688
_cell_length_b 9.688
_cell_length_c 9.688
_cell_angle_alpha 90.00
_cell_angle_beta 90.00
_cell_angle_gamma 90.00
loop_
_atom_site_label
_atom_site_type_symbol
_atom_site_fract_x
_atom_site_fract_y
_atom_site_fract_z
Cs1 Cs 0.250 0.250 0.250
Rb1 Rb 0.000 0.000 0.000
Au1 Au 0.000 0.000 0.500
```



(2)
Material: Cs3Rb3Au2
Method: DFT, PBE-GGA
State: relaxed

Computed properties:
As for the crystal system: trigonal. For the calculated formation energy, the calculation gives -0.14 eV per atom. The calculation puts the total energy at -1.6435 eV per atom.

Geometry as CIF:
```
data_Cs3Rb3Au2
_chemical_formula_sum 'Cs36 Rb36 Au24'
_space_group_name_H-M_alt 'R -3'
_space_group_IT_number 148
_space_group_name_Hall '-R 3'
_cell_length_a 18.4899
_cell_length_b 18.4899
_cell_length_c 24.0528
_cell_angle_alpha 90.00
_cell_angle_beta 90.00
_cell_angle_gamma 120.00
loop_
_atom_site_label
_atom_site_type_symbol
_atom_site_fract_x
_atom_site_fract_y
_atom_site_fract_z
Cs1 Cs 0.0069 0.8433 0.3363
Cs2 Cs 0.0549 0.4521 0.6204
Rb1 Rb 0.0240 0.2572 0.4681
Rb2 Rb 0.0341 0.1637 0.1598
Au1 Au 0.0000 0.0000 0.2508
Au2 Au 0.0021 0.4879 0.2527
```



(3)
Material: Cs5Rb2Au4
Method: DFT, PBE-GGA
State: relaxed

Computed properties:
As for the crystal system: monoclinic. For the calculated formation energy, the calculation gives -0.20 eV per atom. The calculation puts the total energy at -1.9591 eV per atom.

Geometry as CIF:
```
data_Cs5Rb2Au4
_chemical_formula_sum 'Cs10 Rb4 Au8'
_space_group_name_H-M_alt 'C 1 2/m 1'
_space_group_IT_number 12
_cell_length_a 21.055
_cell_length_b 5.384
_cell_length_c 12.791
_cell_angle_alpha 90.00
_cell_angle_beta 110.41
_cell_angle_gamma 90.00
loop_
_space_group_symop_operation_xyz
'x,y,z'
'-x,-y,-z'
'-x,y,-z'
'x,-y,z'
'x+1/2,y+1/2,z'
'-x+1/2,-y+1/2,-z'
'-x+1/2,y+1/2,-z'
'x+1/2,-y+1/2,z'
loop_
_atom_site_label
_atom_site_type_symbol
_atom_site_fract_x
_atom_site_fract_y
_atom_site_fract_z
Cs1 Cs 0.000 0.000 0.000
Cs2 Cs 0.162 0.500 0.379
Cs3 Cs 0.190 0.500 0.798
Rb1 Rb 0.011 0.000 0.654
Au1 Au 0.016 0.500 0.817
Au2 Au 0.154 0.000 0.572
```



(4)
Material: Cs15RbAu6
Method: DFT, PBE-GGA
State: relaxed

Computed properties:
As for the crystal system: cubic. For the calculated formation energy, the calculation gives -0.18 eV per atom. The calculation puts the total energy at -1.7006 eV per atom.

Geometry as CIF:
```
data_Cs15RbAu6
_chemical_formula_sum 'Cs30 Rb2 Au12'
_space_group_name_H-M_alt 'I m -3 m'
_space_group_IT_number 229
_space_group_name_Hall '-I 4 2 3'
_cell_length_a 14.867
_cell_length_b 14.867
_cell_length_c 14.867
_cell_angle_alpha 90.00
_cell_angle_beta 90.00
_cell_angle_gamma 90.00
loop_
_atom_site_label
_atom_site_type_symbol
_atom_site_fract_x
_atom_site_fract_y
_atom_site_fract_z
Cs1 Cs 0.000 0.000 0.500
Cs2 Cs 0.000 0.242 0.242
Rb1 Rb 0.000 0.000 0.000
Au1 Au 0.000 0.000 0.251
```



(5)
Material: CsRb3Au2
Method: DFT, PBE-GGA
State: relaxed

Computed properties:
As for the crystal system: monoclinic. For the calculated formation energy, the calculation gives -0.21 eV per atom. The calculation puts the total energy at -1.9321 eV per atom.

Geometry as CIF:
```
data_CsRb3Au2
_chemical_formula_sum 'Cs4 Rb12 Au8'
_space_group_name_H-M_alt 'C 1 2/m 1'
_space_group_IT_number 12
_cell_length_a 20.962
_cell_length_b 5.069
_cell_length_c 14.092
_cell_angle_alpha 90.00
_cell_angle_beta 119.60
_cell_angle_gamma 90.00
loop_
_space_group_symop_operation_xyz
'x,y,z'
'-x,-y,-z'
'-x,y,-z'
'x,-y,z'
'x+1/2,y+1/2,z'
'-x+1/2,-y+1/2,-z'
'-x+1/2,y+1/2,-z'
'x+1/2,-y+1/2,z'
loop_
_atom_site_label
_atom_site_type_symbol
_atom_site_fract_x
_atom_site_fract_y
_atom_site_fract_z
Cs1 Cs 0.161 0.000 0.251
Rb1 Rb 0.095 0.500 0.943
Rb2 Rb 0.097 0.500 0.457
Rb3 Rb 0.169 0.000 0.760
Au1 Au 0.235 0.000 0.044
Au2 Au 0.236 0.000 0.547
```



(6)
Material: Cs3RbAu3
Method: DFT, PBE-GGA
State: relaxed

Computed properties:
As for the crystal system: trigonal. For the calculated formation energy, the calculation gives -0.26 eV per atom. The calculation puts the total energy at -2.1728 eV per atom.

Geometry as CIF:
```
data_Cs3RbAu3
_chemical_formula_sum 'Cs9 Rb3 Au9'
_space_group_name_H-M_alt 'R 3 m'
_space_group_IT_number 160
_space_group_name_Hall 'R 3 -2"'
_cell_length_a 12.1832
_cell_length_b 12.1832
_cell_length_c 7.5425
_cell_angle_alpha 90.00
_cell_angle_beta 90.00
_cell_angle_gamma 120.00
loop_
_atom_site_label
_atom_site_type_symbol
_atom_site_fract_x
_atom_site_fract_y
_atom_site_fract_z
Cs1 Cs 0.0001 0.5001 0.0000
Rb1 Rb 0.0000 0.0000 0.9995
Au1 Au 0.9999 0.5000 0.5002
```



(7)
Material: Cs5Rb5Au2
Method: DFT, PBE-GGA
State: relaxed

Computed properties:
As for the crystal system: monoclinic. For the calculated formation energy, the calculation gives -0.07 eV per atom. The calculation puts the total energy at -1.3796 eV per atom.

Geometry as CIF:
```
data_Cs5Rb5Au2
_chemical_formula_sum 'Cs10 Rb10 Au4'
_space_group_name_H-M_alt 'C 1 2/m 1'
_space_group_IT_number 12
_cell_length_a 18.760
_cell_length_b 5.666
_cell_length_c 17.446
_cell_angle_alpha 90.00
_cell_angle_beta 103.69
_cell_angle_gamma 90.00
loop_
_space_group_symop_operation_xyz
'x,y,z'
'-x,-y,-z'
'-x,y,-z'
'x,-y,z'
'x+1/2,y+1/2,z'
'-x+1/2,-y+1/2,-z'
'-x+1/2,y+1/2,-z'
'x+1/2,-y+1/2,z'
loop_
_atom_site_label
_atom_site_type_symbol
_atom_site_fract_x
_atom_site_fract_y
_atom_site_fract_z
Cs1 Cs 0.000 0.000 0.000
Cs2 Cs 0.156 0.000 0.781
Cs3 Cs 0.246 0.000 0.382
Rb1 Rb 0.000 0.000 0.500
Rb2 Rb 0.084 0.500 0.220
Rb3 Rb 0.173 0.500 0.002
Au1 Au 0.194 0.000 0.143
```



(8)
Material: Cs8Rb3Au4
Method: DFT, PBE-GGA
State: relaxed

Computed properties:
As for the crystal system: cubic. For the calculated formation energy, the calculation gives -0.11 eV per atom. The calculation puts the total energy at -1.6331 eV per atom.

Geometry as CIF:
```
data_Cs8Rb3Au4
_chemical_formula_sum 'Cs64 Rb24 Au32'
_space_group_name_H-M_alt 'F m -3 m'
_space_group_IT_number 225
_space_group_name_Hall '-F 4 2 3'
_cell_length_a 19.005
_cell_length_b 19.005
_cell_length_c 19.005
_cell_angle_alpha 90.00
_cell_angle_beta 90.00
_cell_angle_gamma 90.00
loop_
_atom_site_label
_atom_site_type_symbol
_atom_site_fract_x
_atom_site_fract_y
_atom_site_fract_z
Cs1 Cs 0.116 0.116 0.116
Cs2 Cs 0.159 0.159 0.341
Rb1 Rb 0.000 0.000 0.315
Au1 Au 0.000 0.000 0.000
Au2 Au 0.000 0.000 0.500
Au3 Au 0.000 0.250 0.250
```



(9)
Material: Cs7Rb3Au
Method: DFT, PBE-GGA
State: relaxed

Computed properties:
As for the crystal system: trigonal. For the calculated formation energy, the calculation gives 0.06 eV per atom. The calculation puts the total energy at -1.0491 eV per atom.

Geometry as CIF:
```
data_Cs7Rb3Au
_chemical_formula_sum 'Cs21 Rb9 Au3'
_space_group_name_H-M_alt 'R 3 m'
_space_group_IT_number 160
_space_group_name_Hall 'R 3 -2"'
_cell_length_a 13.6227
_cell_length_b 13.6227
_cell_length_c 25.4411
_cell_angle_alpha 90.00
_cell_angle_beta 90.00
_cell_angle_gamma 120.00
loop_
_atom_site_label
_atom_site_type_symbol
_atom_site_fract_x
_atom_site_fract_y
_atom_site_fract_z
Cs1 Cs 0.0000 0.0000 0.0000
Cs2 Cs 0.0683 0.5341 0.8633
Cs3 Cs 0.0707 0.5354 0.3543
Rb1 Rb 0.2116 0.4233 0.5062
Au1 Au 0.0000 0.0000 0.1360
```



(10)
Material: Cs3Rb2Au
Method: DFT, PBE-GGA
State: relaxed

Computed properties:
As for the crystal system: orthorhombic. For the calculated formation energy, the calculation gives -0.09 eV per atom. The calculation puts the total energy at -1.3816 eV per atom.

Geometry as CIF:
```
data_Cs3Rb2Au
_chemical_formula_sum 'Cs12 Rb8 Au4'
_space_group_name_H-M_alt 'C m c m'
_space_group_IT_number 63
_space_group_name_Hall '-C 2c 2'
_cell_length_a 14.950
_cell_length_b 12.526
_cell_length_c 10.617
_cell_angle_alpha 90.00
_cell_angle_beta 90.00
_cell_angle_gamma 90.00
loop_
_atom_site_label
_atom_site_type_symbol
_atom_site_fract_x
_atom_site_fract_y
_atom_site_fract_z
Cs1 Cs 0.000 0.201 0.250
Cs2 Cs 0.157 0.500 0.000
Rb1 Rb 0.141 0.205 0.750
Au1 Au 0.000 0.446 0.750
```



(11)
Material: Cs2Rb3Au4
Method: DFT, PBE-GGA
State: relaxed

Computed properties:
As for the crystal system: orthorhombic. For the calculated formation energy, the calculation gives -0.25 eV per atom. The calculation puts the total energy at -2.2144 eV per atom.

Geometry as CIF:
```
data_Cs2Rb3Au4
_chemical_formula_sum 'Cs8 Rb12 Au16'
_space_group_name_H-M_alt 'C m c e'
_space_group_IT_number 64
_space_group_name_Hall '-C 2ac 2'
_cell_length_a 9.187
_cell_length_b 18.686
_cell_length_c 9.618
_cell_angle_alpha 90.00
_cell_angle_beta 90.00
_cell_angle_gamma 90.00
loop_
_atom_site_label
_atom_site_type_symbol
_atom_site_fract_x
_atom_site_fract_y
_atom_site_fract_z
Cs1 Cs 0.000 0.105 0.086
Rb1 Rb 0.000 0.000 0.500
Rb2 Rb 0.250 0.207 0.750
Au1 Au 0.000 0.201 0.457
Au2 Au 0.250 0.024 0.750
```



(12)
Material: CsRbAu
Method: DFT, PBE-GGA
State: relaxed

Computed properties:
As for the crystal system: orthorhombic. For the calculated formation energy, the calculation gives -0.17 eV per atom. The calculation puts the total energy at -1.8738 eV per atom.

Geometry as CIF:
```
data_CsRbAu
_chemical_formula_sum 'Cs16 Rb16 Au16'
_space_group_name_H-M_alt 'F d d d'
_space_group_IT_number 70
_cell_length_a 7.135
_cell_length_b 14.064
_cell_length_c 24.473
_cell_angle_alpha 90.00
_cell_angle_beta 90.00
_cell_angle_gamma 90.00
loop_
_space_group_symop_operation_xyz
'x,y,z'
'-x,-y,-z'
'-x+1/4,-y+1/4,z'
'x+1/4,y+1/4,-z'
'x,-y+1/4,-z+1/4'
'-x,y+1/4,z+1/4'
'-x+1/4,y,-z+1/4'
'x+1/4,-y,z+1/4'
'x,y+1/2,z+1/2'
'-x,-y+1/2,-z+1/2'
'-x+1/4,-y+3/4,z+1/2'
'x+1/4,y+3/4,-z+1/2'
'x,-y+3/4,-z+3/4'
'-x,y+3/4,z+3/4'
'-x+1/4,y+1/2,-z+3/4'
'x+1/4,-y+1/2,z+3/4'
'x+1/2,y,z+1/2'
'-x+1/2,-y,-z+1/2'
'-x+3/4,-y+1/4,z+1/2'
'x+3/4,y+1/4,-z+1/2'
'x+1/2,-y+1/4,-z+3/4'
'-x+1/2,y+1/4,z+3/4'
'-x+3/4,y,-z+3/4'
'x+3/4,-y,z+3/4'
'x+1/2,y+1/2,z'
'-x+1/2,-y+1/2,-z'
'-x+3/4,-y+3/4,z'
'x+3/4,y+3/4,-z'
'x+1/2,-y+3/4,-z+1/4'
'-x+1/2,y+3/4,z+1/4'
'-x+3/4,y+1/2,-z+1/4'
'x+3/4,-y+1/2,z+1/4'
loop_
_atom_site_label
_atom_site_type_symbol
_atom_site_fract_x
_atom_site_fract_y
_atom_site_fract_z
Cs1 Cs 0.125 0.277 0.125
Rb1 Rb 0.125 0.125 0.531
Au1 Au 0.125 0.125 0.252
```